First-principles (GGA-PBE) data for crystalline SrSe2SN at its relaxed geometry, as listed in the Alexandria database.

Results
Fermi-level density of states   11.05 states/eV per cell
Formation energy without anion corrections   7.01 eV per formula unit
Space-group type   P4/mmm (123)
Mass density   2.95 g/cm3
Distance to the lowest polymorph of the same formula   1360 meV/atom

a b c (Å): 6.0080 6.0080 4.5536
angles (deg): 90.00 90.00 90.00
Element x y z (fractional)
Sr (0.0000, 0.0000, 0.0000)
N (0.0000, 0.0000, 0.5000)
Se (0.0000, 0.5000, 0.0000)
Se (0.5000, 0.0000, 0.0000)
S (0.5000, 0.5000, 0.5000)